(1)
# RbCeWN3 PBE relaxed
# **Formation energy (no corrections)**: -3.81 eV/f.u.
# **Size of the total moment**: 0.50 μB/cell
# **Electronic total energy**: -8.11 eV/atom
# **Calculated density**: 6.65 Mg/m³
# **Volume**: 18.78 Å³/atom
data_RbCeWN3
_space_group_name_H-M_alt 'C 1 2/m 1'
_space_group_IT_number 12
_cell_length_a 13.2618
_cell_length_b 3.8539
_cell_length_c 9.2208
_cell_angle_alpha 90.00
_cell_angle_beta 106.96
_cell_angle_gamma 90.00
loop_
_space_group_symop_operation_xyz
'x,y,z'
'-x,-y,-z'
'-x,y,-z'
'x,-y,z'
'x+1/2,y+1/2,z'
'-x+1/2,-y+1/2,-z'
'-x+1/2,y+1/2,-z'
'x+1/2,-y+1/2,z'
loop_
_atom_site_label
_atom_site_type_symbol
_atom_site_fract_x
_atom_site_fract_y
_atom_site_fract_z
_atom_site_occupancy
Rb1 Rb 0.1437 0.0000 0.0674 1
Ce1 Ce 0.1556 0.0000 0.5695 1
W1 W 0.0028 0.5000 0.2986 1
N1 N 0.0086 0.0000 0.3399 1
N2 N 0.1459 0.5000 0.7316 1
N3 N 0.1620 0.5000 0.4078 1

=====

(2)
# CaMgH PBE relaxed
# **Size of the total moment**: 0.00 μB/cell
# **Electronic total energy**: -2.58 eV/atom
# **Calculated density**: 1.74 Mg/m³
# **E above lowest polymorph**: 39 meV/atom
# **Volume**: 20.81 Å³/atom
data_CaMgH
_space_group_name_H-M_alt 'C 1 2/m 1'
_space_group_IT_number 12
_cell_length_a 12.6866
_cell_length_b 3.6912
_cell_length_c 5.7587
_cell_angle_alpha 90.00
_cell_angle_beta 112.18
_cell_angle_gamma 90.00
loop_
_space_group_symop_operation_xyz
'x,y,z'
'-x,-y,-z'
'-x,y,-z'
'x,-y,z'
'x+1/2,y+1/2,z'
'-x+1/2,-y+1/2,-z'
'-x+1/2,y+1/2,-z'
'x+1/2,-y+1/2,z'
loop_
_atom_site_label
_atom_site_type_symbol
_atom_site_fract_x
_atom_site_fract_y
_atom_site_fract_z
_atom_site_occupancy
Ca1 Ca 0.1174 0.0000 0.3235 1
Mg1 Mg 0.1407 0.5000 0.8365 1
H1 H 0.1898 0.5000 0.5516 1

=====

(3)
# K2GaAu3 PBE relaxed
# **Size of the total moment**: 0.00 μB/cell
# **Electronic total energy**: -2.65 eV/atom
# **Energy of formation**: -136 meV/atom
# **Calculated density**: 6.84 Mg/m³
# **Volume**: 29.90 Å³/atom
data_K2GaAu3
_space_group_name_H-M_alt 'I m m m'
_space_group_IT_number 71
_space_group_name_Hall '-I 2 2'
_cell_length_a 4.5894
_cell_length_b 5.9861
_cell_length_c 13.0604
_cell_angle_alpha 90.00
_cell_angle_beta 90.00
_cell_angle_gamma 90.00
loop_
_atom_site_label
_atom_site_type_symbol
_atom_site_fract_x
_atom_site_fract_y
_atom_site_fract_z
_atom_site_occupancy
K1 K 0.0000 0.0000 0.1885 1
Ga1 Ga 0.0000 0.0000 0.5000 1
Au1 Au 0.0000 0.5000 0.1085 1
Au2 Au 0.0000 0.5000 0.5000 1

=====

(4)
# LiTiBi3 PBE relaxed
# **Size of the total moment**: 0.00 μB/cell
# **Electronic total energy**: -4.21 eV/atom
# **Energy of formation**: 80 meV/atom
# **Calculated density**: 7.00 Mg/m³
# **E above lowest polymorph**: 0 meV/atom
# **Volume**: 32.35 Å³/atom
data_LiTiBi3
_space_group_name_H-M_alt 'P m -3 m'
_space_group_IT_number 221
_space_group_name_Hall '-P 4 2 3'
_cell_length_a 5.4486
_cell_length_b 5.4486
_cell_length_c 5.4486
_cell_angle_alpha 90.00
_cell_angle_beta 90.00
_cell_angle_gamma 90.00
loop_
_atom_site_label
_atom_site_type_symbol
_atom_site_fract_x
_atom_site_fract_y
_atom_site_fract_z
_atom_site_occupancy
Li1 Li 0.0000 0.0000 0.0000 1
Ti1 Ti 0.5000 0.5000 0.5000 1
Bi1 Bi 0.0000 0.5000 0.5000 1

=====

(5)
# Mn3AlIr4 PBE relaxed
# **Size of the total moment**: 3.32 μB/cell
# **Electronic total energy**: -8.76 eV/atom
# **Energy of formation**: -422 meV/atom
# **Calculated density**: 14.54 Mg/m³
# **Volume**: 13.72 Å³/atom
data_Mn3AlIr4
_space_group_name_H-M_alt 'P m m m'
_space_group_IT_number 47
_cell_length_a 3.5746
_cell_length_b 3.9186
_cell_length_c 7.8347
_cell_angle_alpha 90.00
_cell_angle_beta 90.00
_cell_angle_gamma 90.00
loop_
_space_group_symop_operation_xyz
'x,y,z'
'-x,-y,-z'
'-x,-y,z'
'x,y,-z'
'x,-y,-z'
'-x,y,z'
'-x,y,-z'
'x,-y,z'
loop_
_atom_site_label
_atom_site_type_symbol
_atom_site_fract_x
_atom_site_fract_y
_atom_site_fract_z
_atom_site_occupancy
Mn1 Mn 0.0000 0.0000 0.0000 1
Mn2 Mn 0.0000 0.5000 0.2431 1
Al1 Al 0.0000 0.0000 0.5000 1
Ir1 Ir 0.5000 0.0000 0.2455 1
Ir2 Ir 0.5000 0.5000 0.0000 1
Ir3 Ir 0.5000 0.5000 0.5000 1

=====

(6)
# PmSmOsRh PBE relaxed
# **Size of the total moment**: 0.00 μB/cell
# **Electronic total energy**: -7.29 eV/atom
# **Energy of formation**: -274 meV/atom
# **Calculated density**: 11.41 Mg/m³
# **Volume**: 21.41 Å³/atom
data_PmSmOsRh
_space_group_name_H-M_alt 'F -4 3 m'
_space_group_IT_number 216
_space_group_name_Hall 'F -4 2 3'
_cell_length_a 6.9970
_cell_length_b 6.9970
_cell_length_c 6.9970
_cell_angle_alpha 90.00
_cell_angle_beta 90.00
_cell_angle_gamma 90.00
loop_
_atom_site_label
_atom_site_type_symbol
_atom_site_fract_x
_atom_site_fract_y
_atom_site_fract_z
_atom_site_occupancy
Pm1 Pm 0.0000 0.0000 0.0000 1
Sm1 Sm 0.0000 0.0000 0.5000 1
Os1 Os 0.2500 0.2500 0.2500 1
Rh1 Rh 0.2500 0.2500 0.7500 1

=====

(7)
# GaSe2Br PBE relaxed
# **Formation energy (no corrections)**: -1.01 eV/f.u.
# **Size of the total moment**: 0.00 μB/cell
# **Electronic total energy**: -3.17 eV/atom
# **Calculated density**: 4.80 Mg/m³
# **E above lowest polymorph**: 0 meV/atom
# **Volume**: 26.58 Å³/atom
data_GaSe2Br
_space_group_name_H-M_alt 'R -3 m'
_space_group_IT_number 166
_space_group_name_Hall '-R 3 2"'
_cell_length_a 3.9407
_cell_length_b 3.9407
_cell_length_c 23.7187
_cell_angle_alpha 90.00
_cell_angle_beta 90.00
_cell_angle_gamma 120.00
loop_
_atom_site_label
_atom_site_type_symbol
_atom_site_fract_x
_atom_site_fract_y
_atom_site_fract_z
_atom_site_occupancy
Ga1 Ga 0.0000 0.0000 0.0000 1
Se1 Se 0.0000 0.0000 0.3902 1
Br1 Br 0.0000 0.0000 0.5000 1

=====

(8)
# MgOs2Se PBE relaxed
# **Formation energy (no corrections)**: 2.63 eV/f.u.
# **Size of the total moment**: 0.00 μB/cell
# **Electronic total energy**: -6.23 eV/atom
# **Calculated density**: 12.60 Mg/m³
# **E above lowest polymorph**: 515 meV/atom
# **Volume**: 15.94 Å³/atom
data_MgOs2Se
_space_group_name_H-M_alt 'P m m m'
_space_group_IT_number 47
_cell_length_a 3.0067
_cell_length_b 4.0410
_cell_length_c 5.2475
_cell_angle_alpha 90.00
_cell_angle_beta 90.00
_cell_angle_gamma 90.00
loop_
_space_group_symop_operation_xyz
'x,y,z'
'-x,-y,-z'
'-x,-y,z'
'x,y,-z'
'x,-y,-z'
'-x,y,z'
'-x,y,-z'
'x,-y,z'
loop_
_atom_site_label
_atom_site_type_symbol
_atom_site_fract_x
_atom_site_fract_y
_atom_site_fract_z
_atom_site_occupancy
Mg1 Mg 0.0000 0.0000 0.0000 1
Os1 Os 0.5000 0.5000 0.2361 1
Se1 Se 0.0000 0.0000 0.5000 1

=====

> size of the total moment of number 2 (CaMgH)?

0.00 μB/cell